This record from Alexandria via LeMat-Bulk describes a relaxed Te2Mo crystal. The functional is PBE.

Unit cell a=7.7251 b=7.7251 c=4.0516 alpha=90.00 beta=90.00 gamma=120.00
Space group P-62m (No. 189)
Symmetry-distinct sites (fractional):
Te 0.0000 0.2645 0.0000 (multiplicity 3)
Te 0.0000 0.6048 0.5000 (multiplicity 3)
Mo 0.0000 0.0000 0.5000 (multiplicity 1)
Mo 0.3333 0.6667 0.0000 (multiplicity 2)



This record from Alexandria via LeMat-Bulk describes a relaxed TeMo crystal. The functional is PBE.

Summary:
The value obtained for the relative energy among the computed polymorphs is 0.316 eV per atom.

Unit cell a=4.3263 b=4.3263 c=13.2566 alpha=90.00 beta=90.00 gamma=120.00
Space group P6_3/mmc (No. 194)
Symmetry-distinct sites (fractional):
Te 0.3333 0.6667 0.1205 (multiplicity 4)
Mo 0.0000 0.0000 0.2500 (multiplicity 2)
Mo 0.3333 0.6667 0.7500 (multiplicity 2)



This record from Alexandria via LeMat-Bulk describes a relaxed Te2Mo crystal. The functional is PBE.

Unit cell a=5.8712 b=5.8712 c=11.3604 alpha=90.00 beta=90.00 gamma=120.00
Space group P6_3/mmc (No. 194)
Symmetry-distinct sites (fractional):
Te 0.0000 0.0000 0.0000 (multiplicity 2)
Te 0.1679 0.3358 0.2500 (multiplicity 6)
Mo 0.3333 0.6667 0.0601 (multiplicity 4)



This record from Alexandria via LeMat-Bulk describes a relaxed TeMo5 crystal. The functional is PBE.

Summary:
The value obtained for the relative energy among the computed polymorphs is 0.457 eV per atom.

Unit cell a=5.1533 b=5.1533 c=4.7736 alpha=90.00 beta=90.00 gamma=120.00
Space group P6/mmm (No. 191)
Symmetry-distinct sites (fractional):
Te 0.0000 0.0000 0.0000 (multiplicity 1)
Mo 0.0000 0.5000 0.5000 (multiplicity 3)
Mo 0.3333 0.6667 0.0000 (multiplicity 2)



This record from Alexandria via LeMat-Bulk describes a relaxed TeMo4 crystal. The functional is PBE.

Summary:
The value obtained for the relative energy among the computed polymorphs is 0.000 eV per atom.

Unit cell a=6.196 b=6.196 c=4.392 alpha=90.00 beta=90.00 gamma=90.00
Space group I4/m (No. 87)
Symmetry-distinct sites (fractional):
Te 0.000 0.000 0.000 (multiplicity 2)
Mo 0.085 0.306 0.500 (multiplicity 8)



This record from Alexandria via LeMat-Bulk describes a relaxed TeMo crystal. The functional is PBE.

Summary:
The value obtained for the relative energy among the computed polymorphs is 0.314 eV per atom.

Unit cell a=5.658 b=7.322 c=8.832 alpha=90.00 beta=90.00 gamma=90.00
Space group P2_12_12_1 (No. 19)
Symmetry-distinct sites (fractional):
Te 0.018 0.122 0.147 (multiplicity 4)
Te 0.031 0.711 0.898 (multiplicity 4)
Mo 0.001 0.348 0.896 (multiplicity 4)
Mo 0.219 0.540 0.633 (multiplicity 4)



This record from Alexandria via LeMat-Bulk describes a relaxed Te4Mo5 crystal. The functional is PBE.

Summary:
The value obtained for the relative energy among the computed polymorphs is 0.477 eV per atom.

Unit cell a=8.4374 b=8.4374 c=5.5721 alpha=90.00 beta=90.00 gamma=120.00
Space group P6_3/mcm (No. 193)
Symmetry-distinct sites (fractional):
Te 0.0000 0.0000 0.0000 (multiplicity 2)
Te 0.0000 0.3699 0.2500 (multiplicity 6)
Mo 0.0000 0.3192 0.7500 (multiplicity 6)
Mo 0.3333 0.6667 0.0000 (multiplicity 4)



This record from Alexandria via LeMat-Bulk describes a relaxed Te2Mo3 crystal. The functional is PBE.

Summary:
The value obtained for the relative energy among the computed polymorphs is 0.000 eV per atom.

Unit cell a=3.2971 b=3.2971 c=31.8874 alpha=90.00 beta=90.00 gamma=120.00
Space group R-3m (No. 166, hexagonal axes)
Symmetry-distinct sites (fractional):
Te 0.0000 0.0000 0.1038 (multiplicity 6)
Mo 0.0000 0.0000 0.3080 (multiplicity 6)
Mo 0.0000 0.0000 0.5000 (multiplicity 3)



This record from Alexandria via LeMat-Bulk describes a relaxed TeMo5 crystal. The functional is PBE.

Summary:
The value obtained for the relative energy among the computed polymorphs is 0.000 eV per atom.

Unit cell a=3.200 b=3.200 c=9.820 alpha=90.00 beta=90.00 gamma=90.00
Space group P4/mmm (No. 123)
Symmetry-distinct sites (fractional):
Te 0.000 0.000 0.000 (multiplicity 1)
Mo 0.000 0.000 0.343 (multiplicity 2)
Mo 0.500 0.500 0.183 (multiplicity 2)
Mo 0.500 0.500 0.500 (multiplicity 1)



This record from Alexandria via LeMat-Bulk describes a relaxed Te2Mo crystal. The functional is PBE.

Unit cell a=6.623 b=6.623 c=6.185 alpha=90.00 beta=90.00 gamma=90.00
Space group I4/mcm (No. 140)
Symmetry-distinct sites (fractional):
Te 0.169 0.331 0.000 (multiplicity 8)
Mo 0.000 0.000 0.250 (multiplicity 4)



This record from Alexandria via LeMat-Bulk describes a relaxed Te2Mo crystal. The functional is PBE.

Unit cell a=14.328 b=3.307 c=9.786 alpha=90.00 beta=127.93 gamma=90.00
Space group C2/m (No. 12)
Symmetry-distinct sites (fractional):
Te 0.061 0.000 0.366 (multiplicity 4)
Te 0.187 0.500 0.122 (multiplicity 4)
Mo 0.236 0.500 0.604 (multiplicity 4)



This record from Alexandria via LeMat-Bulk describes a relaxed Te2Mo crystal. The functional is PBE.

Unit cell a=3.5549 b=3.5549 c=23.2327 alpha=90.00 beta=90.00 gamma=120.00
Space group P3m1 (No. 156)
Symmetry-distinct sites (fractional):
Te 0.0000 0.0000 0.0000 (multiplicity 1)
Te 0.0000 0.0000 0.1559 (multiplicity 1)
Te 0.0000 0.0000 0.3586 (multiplicity 1)
Te 0.0000 0.0000 0.5145 (multiplicity 1)
Te 0.3333 0.6667 0.6806 (multiplicity 1)
Te 0.3333 0.6667 0.8364 (multiplicity 1)
Mo 0.0000 0.0000 0.7585 (multiplicity 1)
Mo 0.3333 0.6667 0.0780 (multiplicity 1)
Mo 0.3333 0.6667 0.4365 (multiplicity 1)



no.,formation energy from raw total energies (eV per atom),Fermi-level density of states (states/eV per atom)
1,0.29,0.6016
2,0.30,0.8230
3,1.11,0.9740
4,0.62,0.9559
5,0.37,1.0928
6,0.30,0.8412
7,0.64,1.3975
8,0.37,0.9778
9,0.17,0.8188
10,0.23,1.1693
11,-0.05,0.3922
12,-0.28,0.0000